# 1
A plane-wave DFT calculation with PBE was carried out for a relaxed TmMg2Ta3N6 crystal.

Summary:
The calculation puts the electronic total energy at -107.66 eV for the cell shown. The calculated volume comes out at 11.1 A^3/atom. The calculation puts the uncorrected formation energy at -1.21 eV per atom. The density of states at the Fermi level is 3.6 states/eV per cell.

Cell: 5.3906 5.3906 5.5920 Å, 99.18 99.18 120.09°
Fractional positions:
N: 0.7459 0.7459 0.2654
N: 0.2541 0.2541 0.7346
N: 0.5713 0.9157 0.7425
N: 0.9157 0.5713 0.7425
N: 0.4287 0.0843 0.2575
N: 0.0843 0.4287 0.2575
Mg: 0.6659 0.3341 0.0000
Mg: 0.3341 0.6659 0.0000
Ta: 0.8258 0.1742 0.5000
Ta: 0.5000 0.5000 0.5000
Ta: 0.1742 0.8258 0.5000
Tm: 0.0000 0.0000 0.0000

=====

# 2
A plane-wave DFT calculation with PBE was carried out for a relaxed Tm2Mg3TaN6 crystal.

Summary:
The calculation puts the electronic total energy at -89.36 eV for the cell shown. The calculated volume comes out at 11.9 A^3/atom. The calculation puts the uncorrected formation energy at -1.15 eV per atom. The density of states at the Fermi level is 5.8 states/eV per cell.

Cell: 5.6603 5.6603 5.4863 Å, 99.87 99.87 120.07°
Fractional positions:
Mg: 0.8383 0.1617 0.5000
Mg: 0.5000 0.5000 0.5000
Mg: 0.1617 0.8383 0.5000
N: 0.3902 0.0804 0.2430
N: 0.9196 0.6098 0.7570
N: 0.2315 0.2315 0.7639
N: 0.0804 0.3902 0.2430
N: 0.7685 0.7685 0.2361
N: 0.6098 0.9196 0.7570
Tm: 0.3329 0.6671 0.0000
Tm: 0.6671 0.3329 0.0000
Ta: 0.0000 0.0000 0.0000

=====

# 3
A plane-wave DFT calculation with PBE was carried out for a relaxed Mg2UTa2N6 crystal.

Summary:
The calculation puts the electronic total energy at -99.93 eV for the cell shown. The calculated volume comes out at 12.4 A^3/atom. The calculation puts the uncorrected formation energy at -1.07 eV per atom. The density of states at the Fermi level is 6.0 states/eV per cell.

Cell: 5.4790 5.4790 5.5945 Å, 101.65 101.65 118.12°
Fractional positions:
N: 0.7856 0.7856 0.7377
N: 0.2144 0.2144 0.2623
N: 0.5917 0.9533 0.2356
N: 0.4083 0.0467 0.7644
N: 0.0467 0.4083 0.7644
N: 0.9533 0.5917 0.2356
Ta: 0.8203 0.1797 0.0000
Ta: 0.1797 0.8203 0.0000
U: 0.0000 0.0000 0.5000
Mg: 0.6570 0.3430 0.5000
Mg: 0.3430 0.6570 0.5000

=====

# 4
A plane-wave DFT calculation with PBE was carried out for a relaxed Mg2UTa3N6 crystal.

Summary:
The calculation puts the electronic total energy at -113.89 eV for the cell shown. The calculated volume comes out at 11.2 A^3/atom. The calculation puts the uncorrected formation energy at -1.16 eV per atom. The density of states at the Fermi level is 3.8 states/eV per cell.

Cell: 5.4303 5.4303 5.5694 Å, 99.36 99.36 120.26°
Fractional positions:
N: 0.4262 0.0844 0.2499
N: 0.0844 0.4262 0.2499
N: 0.5738 0.9156 0.7501
N: 0.9156 0.5738 0.7501
N: 0.2537 0.2537 0.7397
N: 0.7463 0.7463 0.2603
Ta: 0.5000 0.5000 0.5000
Ta: 0.8231 0.1769 0.5000
Ta: 0.1769 0.8231 0.5000
Mg: 0.3342 0.6658 0.0000
Mg: 0.6658 0.3342 0.0000
U: 0.0000 0.0000 0.0000

=====

# 5
A plane-wave DFT calculation with PBE was carried out for a relaxed MgTaVN2 crystal.

Summary:
The calculation puts the electronic total energy at -28.97 eV for the cell shown. The calculated volume comes out at 15.1 A^3/atom. The calculation puts the uncorrected formation energy at 2.05 eV per atom. The density of states at the Fermi level is 5.8 states/eV per cell.

Cell: 3.8441 5.0998 3.8441 Å, 90.00 90.00 90.00°
Fractional positions:
Mg: 0.0000 0.0000 0.0000
N: 0.0000 0.0000 0.5000
N: 0.5000 0.0000 0.0000
V: 0.5000 0.5000 0.5000
Ta: 0.0000 0.5000 0.0000

=====

# 6
A plane-wave DFT calculation with PBE was carried out for a relaxed Mg2TaZnN4 crystal.

Summary:
The calculation puts the electronic total energy at -109.65 eV for the cell shown. The calculated volume comes out at 12.2 A^3/atom. The calculation puts the uncorrected formation energy at -0.65 eV per atom. The density of states at the Fermi level is 6.4 states/eV per cell.

Cell: 4.3187 6.3447 7.1448 Å, 90.00 90.00 90.00°
Fractional positions:
N: 0.4373 0.6744 0.2626
N: 0.9373 0.3256 0.2374
N: 0.4371 0.1527 0.5000
N: 0.9371 0.8473 0.0000
N: 0.9373 0.3256 0.7626
N: 0.4371 0.1568 0.0000
N: 0.4373 0.6744 0.7374
N: 0.9371 0.8432 0.5000
Zn: 0.9374 0.1759 0.5000
Zn: 0.4374 0.8241 0.0000
Mg: 0.9375 0.6623 0.2436
Mg: 0.4375 0.3377 0.7436
Mg: 0.4375 0.3377 0.2564
Mg: 0.9375 0.6623 0.7564
Ta: 0.4387 0.8374 0.5000
Ta: 0.9387 0.1626 0.0000

=====

# 7
A plane-wave DFT calculation with PBE was carried out for a relaxed Mg2TaZn3N6 crystal.

Summary:
The calculation puts the electronic total energy at -70.31 eV for the cell shown. The calculated volume comes out at 10.5 A^3/atom. The calculation puts the uncorrected formation energy at -0.12 eV per atom. The density of states at the Fermi level is 8.3 states/eV per cell.

Cell: 5.4515 5.4515 5.2013 Å, 98.94 98.94 120.77°
Fractional positions:
N: 0.9256 0.6059 0.7543
N: 0.2481 0.2481 0.7653
N: 0.0744 0.3941 0.2457
N: 0.3941 0.0744 0.2457
N: 0.6059 0.9256 0.7543
N: 0.7519 0.7519 0.2347
Mg: 0.3329 0.6671 0.0000
Mg: 0.6671 0.3329 0.0000
Zn: 0.5000 0.5000 0.5000
Zn: 0.8306 0.1694 0.5000
Zn: 0.1694 0.8306 0.5000
Ta: 0.0000 0.0000 0.0000

=====

# 8
A plane-wave DFT calculation with PBE was carried out for a relaxed MgTaZn2N4 crystal.

Summary:
The calculation puts the electronic total energy at -105.32 eV for the cell shown. The calculated volume comes out at 13.0 A^3/atom. The calculation puts the uncorrected formation energy at -0.42 eV per atom. The density of states at the Fermi level is 10.8 states/eV per cell.

Cell: 5.2177 5.8270 6.8478 Å, 90.00 90.00 90.00°
Fractional positions:
N: 0.8848 0.3333 0.7627
N: 0.3848 0.6667 0.7373
N: 0.8848 0.3333 0.2373
N: 0.8950 0.8494 0.0000
N: 0.3848 0.6667 0.2627
N: 0.8710 0.8274 0.5000
N: 0.3950 0.1506 0.5000
N: 0.3710 0.1726 0.0000
Zn: 0.9892 0.6703 0.2467
Zn: 0.4892 0.3297 0.7467
Zn: 0.9892 0.6703 0.7533
Zn: 0.4892 0.3297 0.2533
Ta: 0.4979 0.8259 0.5000
Ta: 0.9979 0.1741 0.0000
Mg: 0.4880 0.8245 0.0000
Mg: 0.9880 0.1755 0.5000

=====

> What is the formula in the third record?

Mg2UTa2N6